(1)
This record from the Alexandria database describes a relaxed Li15Cd4Ag crystal. The functional is PBE-GGA.

a b c (Å): 4.2997 4.2997 19.5649
angles (deg): 90.00 90.00 90.00
Fractional positions:
1 Li 0.5000 0.5000 0.8038
2 Li 0.0000 0.5000 0.0947
3 Li 0.5000 0.0000 0.2978
4 Li 0.0000 0.5000 0.9053
5 Li 0.0000 0.5000 0.5000
6 Li 0.0000 0.5000 0.2978
7 Li 0.5000 0.0000 0.9053
8 Li 0.5000 0.0000 0.0947
9 Li 0.5000 0.0000 0.5000
10 Li 0.5000 0.5000 0.0000
11 Li 0.5000 0.5000 0.1962
12 Li 0.0000 0.5000 0.7022
13 Li 0.5000 0.5000 0.3984
14 Li 0.5000 0.0000 0.7022
15 Li 0.5000 0.5000 0.6016
16 Cd 0.0000 0.0000 0.1965
17 Cd 0.0000 0.0000 0.3987
18 Cd 0.0000 0.0000 0.8035
19 Cd 0.0000 0.0000 0.6013
20 Ag 0.0000 0.0000 0.0000

Values from the calculation:
The density of states at the Fermi level is 6.921 states/eV/f.u. The value obtained for the total energy is -1.92 eV per atom. For the formation energy, the calculation gives -0.16 eV per atom. As for the space group: P4/mmm, No. 123. The total magnetization is 0.00 μB per cell.

---

(2)
This record from the Alexandria database describes a relaxed Rb3YRu crystal. The functional is PBE-GGA.

a b c (Å): 6.4471 6.4471 6.4471
angles (deg): 90.00 90.00 90.00
Each line ends with the local moment (μB).
Fractional positions:
1 Rb 0.0000 0.5000 0.0000  0.01
2 Rb 0.0000 0.0000 0.5000  0.02
3 Rb 0.5000 0.0000 0.0000  0.00
4 Ru 0.0000 0.0000 0.0000  -1.87
5 Y 0.5000 0.5000 0.5000  0.66

Values from the calculation:
The density of states at the Fermi level is 0.258 states/eV/f.u. The value obtained for the total energy is -2.35 eV per atom. For the formation energy, the calculation gives 1.37 eV per atom. As for the space group: Pm-3m, No. 221. The total magnetization is 0.00 μB per cell.

---

(3)
This record from the Alexandria database describes a relaxed Nd2SmY3Tm6 crystal. The functional is PBE-GGA.

a b c (Å): 6.1617 6.1617 11.7264
angles (deg): 95.02 95.02 119.96
Fractional positions:
1 Sm 0.0000 0.0000 0.0000
2 Tm 0.0843 0.4174 0.2519
3 Tm 0.9157 0.5826 0.7481
4 Tm 0.4174 0.0843 0.2519
5 Tm 0.7512 0.7512 0.2518
6 Tm 0.5826 0.9157 0.7481
7 Tm 0.2488 0.2488 0.7482
8 Nd 0.3332 0.6668 0.0000
9 Nd 0.6668 0.3332 0.0000
10 Y 0.1666 0.8334 0.5000
11 Y 0.5000 0.5000 0.5000
12 Y 0.8334 0.1666 0.5000

Values from the calculation:
The density of states at the Fermi level is 16.839 states/eV/f.u. The value obtained for the total energy is -5.01 eV per atom. For the formation energy, the calculation gives 0.03 eV per atom. As for the space group: C2/m, No. 12. The total magnetization is 0.00 μB per cell.

---

(4)
This record from the Alexandria database describes a relaxed In2SiCBr crystal. The functional is PBE-GGA.

a b c (Å): 6.0915 5.1167 6.0915
angles (deg): 90.00 90.00 90.00
Each line ends with the local moment (μB).
Fractional positions:
1 Si 0.0000 0.5000 0.0000  -0.22
2 In 0.5000 0.0000 0.0000  0.02
3 In 0.0000 0.0000 0.5000  0.02
4 C 0.5000 0.5000 0.5000  1.00
5 Br 0.0000 0.0000 0.0000  -0.01

Values from the calculation:
The density of states at the Fermi level is 2.570 states/eV/f.u. The value obtained for the total energy is -2.44 eV per atom. As for the space group: P4/mmm, No. 123. The total magnetization is 1.58 μB per cell. The calculation puts the uncorrected formation energy at 1.92 eV per atom.

---

(5)
This record from the Alexandria database describes a relaxed CsTiHgSe3 crystal. The functional is PBE-GGA.

a b c (Å): 7.0426 7.6396 8.1213
angles (deg): 61.94 87.26 84.17
Fractional positions:
1 Se 0.2500 0.7824 0.4352
2 Se 0.7500 0.2176 0.5648
3 Se 0.5068 0.7949 0.9702
4 Se 0.4932 0.2051 0.0298
5 Se 0.0068 0.7651 0.0298
6 Se 0.9932 0.2349 0.9702
7 Cs 0.2500 0.2645 0.4710
8 Cs 0.7500 0.7355 0.5290
9 Hg 0.7500 0.4214 0.1572
10 Hg 0.2500 0.5786 0.8428
11 Ti 0.2500 0.9464 0.1072
12 Ti 0.7500 0.0536 0.8928

Values from the calculation:
The density of states at the Fermi level is 2.127 states/eV/f.u. The value obtained for the total energy is -4.12 eV per atom. As for the space group: C2/c, No. 15. The total magnetization is 0.00 μB per cell. The calculation puts the uncorrected formation energy at -0.87 eV per atom.

---

(6)
This record from the Alexandria database describes a relaxed Ce2Sm4Sn3N2 crystal. The functional is PBE-GGA.

a b c (Å): 4.8414 4.8414 13.2199
angles (deg): 100.55 100.55 90.00
Each line ends with the local moment (μB).
Fractional positions:
1 N 0.3945 0.3945 0.7889  -0.02
2 N 0.6055 0.6055 0.2111  -0.02
3 Sn 0.0000 0.0000 0.0000  0.00
4 Sn 0.1767 0.1767 0.3534  -0.02
5 Sn 0.8233 0.8233 0.6466  -0.02
6 Sm 0.0834 0.5834 0.1667  0.02
7 Sm 0.5834 0.0834 0.1667  0.02
8 Sm 0.9166 0.4166 0.8333  0.02
9 Sm 0.4166 0.9166 0.8333  0.02
10 Ce 0.6917 0.6917 0.3835  0.58
11 Ce 0.3083 0.3083 0.6165  0.58

Values from the calculation:
The density of states at the Fermi level is 13.947 states/eV/f.u. The value obtained for the total energy is -6.34 eV per atom. As for the space group: I4/mmm, No. 139. The total magnetization is 1.35 μB per cell. The calculation puts the uncorrected formation energy at -0.94 eV per atom.